(1)
# K2NaTcF6 (PBE, optimized geometry)
data_K2NaTcF6
_symmetry_space_group_name_H-M 'P 1'
_symmetry_Int_Tables_number 1
_cell_length_a 5.894
_cell_length_b 5.894
_cell_length_c 5.894
_cell_angle_alpha 121.36
_cell_angle_beta 121.36
_cell_angle_gamma 87.67
loop_
_symmetry_equiv_pos_as_xyz
'x,y,z'
loop_
_atom_site_label
_atom_site_type_symbol
_atom_site_fract_x
_atom_site_fract_y
_atom_site_fract_z
_atom_site_occupancy
F1 F 0.241 0.241 0.000 1
F2 F 0.759 0.759 0.000 1
F3 F 0.296 0.816 0.112 1
F4 F 0.184 0.296 0.480 1
F5 F 0.816 0.704 0.520 1
F6 F 0.704 0.184 0.888 1
K1 K 0.750 0.250 0.500 1
K2 K 0.250 0.750 0.500 1
Na1 Na 0.500 0.500 0.000 1
Tc1 Tc 0.000 0.000 0.000 1
# **Crystal system**: tetragonal
# **Total magnetic moment**: 0.200 μB/atom
# **Energy**: -49.52 eV for the cell shown
# **Calculated volume**: 142 Å³ per cell
# **Excess energy over the best structure of this formula in the dataset**: 3 meV/atom
# **SG**: I4/m

(2)
# CsNiIrSe3 (PBE, optimized geometry)
data_CsNiIrSe3
_symmetry_space_group_name_H-M 'P 1'
_symmetry_Int_Tables_number 1
_cell_length_a 8.295
_cell_length_b 8.295
_cell_length_c 9.821
_cell_angle_alpha 90.00
_cell_angle_beta 90.00
_cell_angle_gamma 153.34
loop_
_symmetry_equiv_pos_as_xyz
'x,y,z'
loop_
_atom_site_label
_atom_site_type_symbol
_atom_site_fract_x
_atom_site_fract_y
_atom_site_fract_z
_atom_site_occupancy
Cs1 Cs 0.756 0.244 0.250 1
Cs2 Cs 0.244 0.756 0.750 1
Ir1 Ir 0.000 0.000 0.000 1
Ir2 Ir 0.000 0.000 0.500 1
Ni1 Ni 0.476 0.524 0.250 1
Ni2 Ni 0.524 0.476 0.750 1
Se1 Se 0.401 0.599 0.048 1
Se2 Se 0.062 0.938 0.250 1
Se3 Se 0.401 0.599 0.452 1
Se4 Se 0.599 0.401 0.548 1
Se5 Se 0.938 0.062 0.750 1
Se6 Se 0.599 0.401 0.952 1
# **Crystal system**: orthorhombic
# **Total magnetic moment**: 0.128 μB/atom
# **Energy**: -56.63 eV for the cell shown
# **Calculated volume**: 303 Å³ per cell
# **SG**: Cmcm

(3)
# Rb2HgI4 (PBE, optimized geometry)
data_Rb2HgI4
_symmetry_space_group_name_H-M 'P 1'
_symmetry_Int_Tables_number 1
_cell_length_a 8.402
_cell_length_b 8.438
_cell_length_c 10.209
_cell_angle_alpha 90.00
_cell_angle_beta 107.89
_cell_angle_gamma 90.00
loop_
_symmetry_equiv_pos_as_xyz
'x,y,z'
loop_
_atom_site_label
_atom_site_type_symbol
_atom_site_fract_x
_atom_site_fract_y
_atom_site_fract_z
_atom_site_occupancy
Hg1 Hg 0.226 0.250 0.304 1
Hg2 Hg 0.774 0.750 0.696 1
I1 I 0.417 0.250 0.118 1
I2 I 0.995 0.509 0.243 1
I3 I 0.995 0.991 0.243 1
I4 I 0.586 0.750 0.413 1
I5 I 0.414 0.250 0.587 1
I6 I 0.005 0.009 0.757 1
I7 I 0.005 0.491 0.757 1
I8 I 0.583 0.750 0.882 1
Rb1 Rb 0.247 0.750 0.061 1
Rb2 Rb 0.771 0.250 0.442 1
Rb3 Rb 0.229 0.750 0.558 1
Rb4 Rb 0.753 0.250 0.939 1
# **Crystal system**: monoclinic
# **Energy**: -30.80 eV for the cell shown
# **Calculated volume**: 689 Å³ per cell
# **Excess energy over the best structure of this formula in the dataset**: 0 meV/atom
# **SG**: P2_1/m